A plane-wave DFT calculation with PBE-GGA was carried out for SrHg3P after structural relaxation.

For the calculated formation energy, the calculation gives 0.7091 eV per atom. As for the energy above the most stable polymorph in this dataset: 0.696 eV per atom.

It has space group Pm-3m (No. 221), with a = 6.3349 Å, b = 6.3349 Å, c = 6.3349 Å, α = 90.00°, β = 90.00° and γ = 90.00°. The distinct sites, in fractional coordinates, are Sr at (0.0000, 0.0000, 0.0000), Hg at (0.0000, 0.0000, 0.5000) and P at (0.5000, 0.5000, 0.5000).